Record 1
The following is a PBE calculation of an optimized crystal structure of LaHg2Cl, from Alexandria via LeMat-Bulk.

a = 9.5360 Å, b = 9.5360 Å, c = 9.5360 Å
α = 22.85°, β = 22.85°, γ = 22.85°
Last column: nearest neighbours and their distance in Å.
Fractional positions:
Cl (0.7500, 0.7500, 0.7500)  6 Hg 3.03
Hg (0.0078, 0.0078, 0.0078)  3 Cl 3.03, 3 La 3.35
Hg (0.4922, 0.4922, 0.4922)  3 Cl 3.03, 3 La 3.35
La (0.2500, 0.2500, 0.2500)  6 Hg 3.35

Output
- Symmetry: No. 166
- E_form (uncorrected): -0.498 eV per atom
- N(E_F): 2.74 states/eV/cell
- DFT total energy: -2.34 eV/atom
- Theoretical density: 8.3 g/cm3

---

Record 2
The following is a PBE calculation of an optimized crystal structure of CaTiIn3, from Alexandria via LeMat-Bulk.

a = 5.3162 Å, b = 5.3162 Å, c = 5.3162 Å
α = 90.00°, β = 90.00°, γ = 90.00°
Last column: nearest neighbours and their distance in Å.
Fractional positions:
Ca (0.5000, 0.5000, 0.5000)  12 In 3.76
Ti (0.0000, 0.0000, 0.0000)  6 In 2.66
In (0.0000, 0.5000, 0.0000)  2 Ti 2.66
In (0.0000, 0.0000, 0.5000)  2 Ti 2.66
In (0.5000, 0.0000, 0.0000)  2 Ti 2.66

Output
- Symmetry: No. 221
- N(E_F): 3.57 states/eV/cell
- ΔH_f (0 K): 0.084 eV per atom
- DFT total energy: -3.54 eV/atom
- Theoretical density: 4.8 g/cm3

---

Record 3
The following is a PBE calculation of an optimized crystal structure of IrOsSCl2, from Alexandria via LeMat-Bulk.

a = 4.6578 Å, b = 4.5102 Å, c = 4.6578 Å
α = 90.00°, β = 90.00°, γ = 90.00°
Last column: nearest neighbours and their distance in Å.
Fractional positions:
S (0.0000, 0.0000, 0.0000)  2 Os 2.26, 4 Cl 2.33
Ir (0.5000, 0.5000, 0.5000)  8 Cl 3.24, 4 Os 3.29
Os (0.0000, 0.5000, 0.0000)  2 S 2.26
Cl (0.0000, 0.0000, 0.5000)  2 S 2.33
Cl (0.5000, 0.0000, 0.0000)  2 S 2.33

Output
- Symmetry: No. 123
- E_form (uncorrected): 1.792 eV per atom
- N(E_F): 5.66 states/eV/cell
- DFT total energy: -3.79 eV/atom
- Theoretical density: 8.2 g/cm3

---

Record 4
The following is a PBE calculation of an optimized crystal structure of KBi2RhO8, from Alexandria via LeMat-Bulk.

a = 5.0631 Å, b = 4.6931 Å, c = 7.1684 Å
α = 89.97°, β = 89.99°, γ = 89.09°
Last column: nearest neighbours and their distance in Å.
Fractional positions:
K (0.0000, 0.0000, 0.5000)  6 O 2.56-2.64
Bi (0.5000, 0.4999, 0.7621)  6 O 2.20-2.28
Bi (0.5000, 0.5001, 0.2379)  6 O 2.20-2.28
Rh (0.0000, 0.0000, 0.0000)  6 O 1.95-2.03
O (0.1344, 0.7503, 0.1964)  1 Rh 1.95
O (0.6673, 0.7655, 0.9999)  1 Rh 2.03
O (0.8652, 0.2493, 0.1963)  1 Rh 1.95
O (0.8656, 0.2497, 0.8036)  1 Rh 1.95
O (0.3327, 0.2345, 0.0001)  1 Rh 2.03
O (0.1348, 0.7507, 0.8037)  1 Rh 1.95
O (0.5297, 0.7652, 0.5000)  1 O 2.22, 2 Bi 2.26
O (0.4703, 0.2348, 0.5000)  1 O 2.22, 2 Bi 2.26

Output
- Symmetry: No. 10
- E_form (uncorrected): -0.677 eV per atom
- N(E_F): 6.23 states/eV/cell
- DFT total energy: -5.33 eV/atom
- Theoretical density: 6.7 g/cm3

---

Record 5
The following is a PBE calculation of an optimized crystal structure of AcGdYTl, from Alexandria via LeMat-Bulk.

a = 5.6573 Å, b = 5.6573 Å, c = 5.6573 Å
α = 60.00°, β = 60.00°, γ = 60.00°
Last column: nearest neighbours and their distance in Å.
Fractional positions:
Y (0.7500, 0.7500, 0.7500)  4 Tl 3.46, 4 Ac 3.46
Ac (0.5000, 0.5000, 0.5000)  4 Gd 3.46, 4 Y 3.46
Gd (0.2500, 0.2500, 0.2500)  4 Ac 3.46, 4 Tl 3.46
Tl (0.0000, 0.0000, 0.0000)  4 Gd 3.46, 4 Y 3.46

Output
- Symmetry: No. 216
- N(E_F): 5.13 states/eV/cell
- ΔH_f (0 K): 0.009 eV per atom
- DFT total energy: -6.75 eV/atom
- Theoretical density: 8.8 g/cm3

---

Record 6
The following is a PBE calculation of an optimized crystal structure of DyTm2Pb, from Alexandria via LeMat-Bulk.

a = 4.6607 Å, b = 4.5992 Å, c = 11.3608 Å
α = 101.69°, β = 90.00°, γ = 90.00°
Last column: nearest neighbours and their distance in Å.
Fractional positions:
Dy (0.2500, 0.3093, 0.6186)  5 Pb 3.17-3.32
Dy (0.7500, 0.6907, 0.3814)  5 Pb 3.17-3.32
Tm (0.7500, 0.4423, 0.8852)  8 Tm 3.28-3.51, 2 Pb 3.35
Tm (0.2500, 0.5577, 0.1148)  8 Tm 3.28-3.51, 2 Pb 3.35
Tm (0.2500, 0.9379, 0.8760)  8 Tm 3.28-3.61, 2 Pb 3.30
Tm (0.7500, 0.0621, 0.1240)  8 Tm 3.28-3.61, 2 Pb 3.30
Pb (0.7500, 0.8332, 0.6664)  5 Dy 3.17-3.32, 4 Tm 3.30-3.35
Pb (0.2500, 0.1668, 0.3336)  5 Dy 3.17-3.32, 4 Tm 3.30-3.35

Output
- Symmetry: No. 63
- N(E_F): 7.96 states/eV/cell
- ΔH_f (0 K): -0.286 eV per atom
- DFT total energy: -4.60 eV/atom
- Theoretical density: 9.9 g/cm3